This record from the Alexandria database describes SrFe2Br after structural relaxation. The functional is PBEsol.

Computed properties:
Polymorph energy (0 for the lowest one) in meV/atom: 0.0
Calculated density in g/cm3: 5.14
DOS(E_F) in states/eV/f.u.: 2.142
Total energy in eV per atom: -5.297
Total magnetization in μB per formula unit: 4.739

a = 6.9117 Å, b = 3.9125 Å, c = 6.7875 Å
α = 90.00°, β = 100.39°, γ = 90.00°
Space group Cm (No. 8)
Inequivalent atoms, fractional coordinates:
Sr1 0.0000 0.0000 0.0000
Fe1 0.2256 0.5000 0.3348
Fe2 0.3933 0.0000 0.3324
Br1 0.1103 0.5000 0.6788